Material: Tm2LuOs
Method: DFT, PBE
State: relaxed

Summary:
symmetry: P4/mmm (123)
volume: 25.4 Å³ per atom
E_form: -0.15 eV/atom
magnetic moment: 0.03 Bohr magnetons per cell
crystal system: tetragonal
offset from the most stable computed form: 0 meV/atom

a = 3.356 Å, b = 3.356 Å, c = 9.012 Å
α = 90.00°, β = 90.00°, γ = 90.00°
Positions (direct):
Os1 0.500 0.500 0.000
Tm1 0.000 0.000 0.818
Tm2 0.000 0.000 0.182
Lu1 0.500 0.500 0.500